Entry 1:
A plane-wave DFT calculation with PBE was carried out for crystalline Re5Se at its relaxed geometry.

Cell and atoms, written as CIF:
```
data_Re5Se
_chemical_formula_sum 'Re10 Se2'
_space_group_name_H-M_alt 'C m m m'
_space_group_IT_number 65
_space_group_name_Hall '-C 2 2'
_cell_length_a 4.0266
_cell_length_b 11.5206
_cell_length_c 4.0033
_cell_angle_alpha 90.00
_cell_angle_beta 90.00
_cell_angle_gamma 90.00
loop_
_atom_site_label
_atom_site_type_symbol
_atom_site_fract_x
_atom_site_fract_y
_atom_site_fract_z
Re1 Re 0.0000 0.0000 0.0000
Re2 Re 0.0000 0.1789 0.5000
Re3 Re 0.0000 0.3314 0.0000
Se1 Se 0.0000 0.5000 0.5000
```

Calculated values
The total energy comes out at -10.418 eV/atom. The calculation puts the formation energy without anion corrections at 3.21 eV per formula unit. The crystal system is orthorhombic.

=====

Entry 2:
A plane-wave DFT calculation with PBE was carried out for crystalline CaDy2Y at its relaxed geometry.

Cell and atoms, written as CIF:
```
data_CaDy2Y
_chemical_formula_sum 'Ca3 Dy6 Y3'
_space_group_name_H-M_alt 'R -3 m'
_space_group_IT_number 166
_space_group_name_Hall '-R 3 2"'
_cell_length_a 3.5981
_cell_length_b 3.5981
_cell_length_c 36.1726
_cell_angle_alpha 90.00
_cell_angle_beta 90.00
_cell_angle_gamma 120.00
loop_
_atom_site_label
_atom_site_type_symbol
_atom_site_fract_x
_atom_site_fract_y
_atom_site_fract_z
Ca1 Ca 0.0000 0.0000 0.0000
Dy1 Dy 0.0000 0.0000 0.2453
Y1 Y 0.0000 0.0000 0.5000
```

Calculated values
The calculated formation energy is 0.27 eV per formula unit. The total energy comes out at -4.350 eV/atom. The crystal system is trigonal.

=====

Entry 3:
A plane-wave DFT calculation with PBE was carried out for crystalline MnNbSeN2 at its relaxed geometry.

Cell and atoms, written as CIF:
```
data_MnNbSeN2
_chemical_formula_sum 'Mn1 Nb1 Se1 N2'
_space_group_name_H-M_alt 'P 4/m m m'
_space_group_IT_number 123
_space_group_name_Hall '-P 4 2'
_cell_length_a 3.7217
_cell_length_b 3.7217
_cell_length_c 4.8822
_cell_angle_alpha 90.00
_cell_angle_beta 90.00
_cell_angle_gamma 90.00
loop_
_atom_site_label
_atom_site_type_symbol
_atom_site_fract_x
_atom_site_fract_y
_atom_site_fract_z
Mn1 Mn 0.0000 0.0000 0.0000
Nb1 Nb 0.5000 0.5000 0.5000
Se1 Se 0.0000 0.0000 0.5000
N1 N 0.0000 0.5000 0.0000
```

Calculated values
The total energy comes out at -7.238 eV/atom. The calculation puts the formation energy without anion corrections at 3.18 eV per formula unit. The crystal system is tetragonal.